[1]
VASP calculation (PBE-GGA) on a relaxed Sr2CaHfGa crystal.

## Properties
Symmetry: P4/mmm
Formation energy from the elements in kcal/mol of atoms: 27.81

Unit cell a=6.2259 b=5.2693 c=6.2259 alpha=90.00 beta=90.00 gamma=90.00
Site moments in Bohr magnetons follow the coordinates.
Positions (direct):
Sr (0.0000, 0.0000, 0.5000)  0.07
Sr (0.5000, 0.0000, 0.0000)  0.07
Ca (0.0000, 0.0000, 0.0000)  0.08
Hf (0.5000, 0.5000, 0.5000)  0.98
Ga (0.0000, 0.5000, 0.0000)  0.02



[2]
VASP calculation (PBE-GGA) on a relaxed CaHf2ZrGa crystal.

## Properties
Symmetry: P4/mmm
Formation energy from the elements in kcal/mol of atoms: 11.35

Unit cell a=5.1229 b=5.1894 c=5.1229 alpha=90.00 beta=90.00 gamma=90.00
Positions (direct):
Ca (0.5000, 0.5000, 0.5000)
Hf (0.0000, 0.0000, 0.5000)
Hf (0.5000, 0.0000, 0.0000)
Ga (0.0000, 0.0000, 0.0000)
Zr (0.0000, 0.5000, 0.0000)